[1]
{"formula": "La3Dy2ErP6", "functional": "PBE", "state": "optimized geometry", "e_tot_ev_per_atom": -6.66, "formation_enthalpy_0k_ev_per_atom": -1.58, "dos_at_fermi_per_ev_fu": 1.14, "lattice": [[-5.119, -2.720, -4.208], [5.379, -4.164, 2.245], [-3.677, 0.601, 6.116]], "species": ["La", "P", "P", "La", "Dy", "P", "Er", "P", "P", "P", "Dy", "La"], "frac_coords": [[0.833, 0.167, 0.500], [0.747, 0.747, 0.236], [0.410, 0.078, 0.235], [0.167, 0.833, 0.500], [0.333, 0.667, 0.000], [0.590, 0.922, 0.765], [0.000, 0.000, 0.000], [0.922, 0.590, 0.765], [0.253, 0.253, 0.764], [0.078, 0.410, 0.235], [0.667, 0.333, 0.000], [0.500, 0.500, 0.500]]}

***

[2]
{"formula": "Zr2AgPb", "functional": "PBE", "state": "optimized geometry", "e_tot_ev_per_atom": -5.93, "formation_enthalpy_0k_ev_per_atom": -0.02, "dos_at_fermi_per_ev_fu": 3.15, "lattice": [[-1.047, -0.481, 3.054], [-2.884, -1.010, -1.148], [2.987, -8.218, -0.270]], "species": ["Ag", "Zr", "Zr", "Pb"], "frac_coords": [[0.000, 0.000, 0.486], [0.000, 0.000, 0.015], [0.500, 0.500, 0.261], [0.500, 0.500, 0.738]]}

***

[3]
{"formula": "Sm2Al5Ni2Ir", "functional": "PBE", "state": "optimized geometry", "e_tot_ev_per_atom": -5.37, "formation_enthalpy_0k_ev_per_atom": -0.51, "dos_at_fermi_per_ev_fu": 9.12, "lattice": [[3.885, 0.000, 0.000], [0.000, 9.455, 0.000], [0.000, 0.000, 9.455]], "species": ["Al", "Sm", "Ni", "Al", "Al", "Sm", "Ni", "Al", "Ir", "Al", "Al", "Sm", "Ir", "Ni", "Al", "Al", "Sm", "Al", "Ni", "Al"], "frac_coords": [[0.500, 0.949, 0.199], [0.000, 0.315, 0.815], [0.000, 0.889, 0.389], [0.500, 0.551, 0.699], [0.500, 0.699, 0.449], [0.000, 0.685, 0.185], [0.000, 0.389, 0.111], [0.500, 0.051, 0.801], [0.000, 0.500, 0.500], [0.500, 0.449, 0.301], [0.500, 0.199, 0.051], [0.000, 0.185, 0.315], [0.000, 0.000, 0.000], [0.000, 0.111, 0.611], [0.500, 0.500, 0.000], [0.500, 0.801, 0.949], [0.000, 0.815, 0.685], [0.500, 0.301, 0.551], [0.000, 0.611, 0.889], [0.500, 0.000, 0.500]]}

***

[4]
{"formula": "TaIn2Br", "functional": "PBE", "state": "optimized geometry", "e_tot_ev_per_atom": -4.35, "formation_energy_uncorrected_ev_per_atom": 0.40, "dos_at_fermi_per_ev_fu": 2.24, "e_above_lowest_polymorph_mev_per_atom": 279.3, "lattice": [[-3.372, 0.138, -4.339], [0.306, -3.181, -0.339], [-3.822, -3.615, 2.855]], "species": ["In", "Ta", "In", "Br"], "frac_coords": [[0.000, 0.189, 0.009], [0.500, 0.250, 0.250], [0.000, 0.311, 0.491], [0.500, 0.750, 0.750]]}

***

[5]
{"formula": "SrNb2Sn", "functional": "PBE", "state": "optimized geometry", "e_tot_ev_per_atom": -5.61, "formation_enthalpy_0k_ev_per_atom": 0.85, "dos_at_fermi_per_ev_fu": 1.72, "lattice": [[-0.959, 2.026, 8.071], [1.355, -7.978, 2.163], [3.090, -2.429, 5.323]], "species": ["Sr", "Nb", "Sn", "Sr", "Nb", "Nb", "Nb", "Sn"], "frac_coords": [[0.500, 0.500, 0.000], [0.669, 0.125, 0.250], [0.000, 0.000, 0.000], [0.250, 0.750, 0.500], [0.081, 0.625, 0.250], [0.875, 0.919, 0.750], [0.375, 0.331, 0.750], [0.750, 0.250, 0.500]]}

***

[6]
{"formula": "K2MnTe", "functional": "PBE", "state": "optimized geometry", "e_tot_ev_per_atom": -3.53, "formation_energy_uncorrected_ev_per_atom": 0.10, "dos_at_fermi_per_ev_fu": 1.68, "lattice": [[-1.256, 6.100, -1.780], [-5.256, 2.389, 2.937], [5.316, -3.032, 2.122]], "species": ["Te", "K", "Mn", "K"], "frac_coords": [[0.750, 0.250, 0.500], [0.250, 0.750, 0.500], [0.500, 0.500, 0.000], [0.000, 0.000, 0.000]]}

***

[7]
{"formula": "NaScPaTe4", "functional": "PBE", "state": "optimized geometry", "e_tot_ev_per_atom": -5.21, "formation_energy_uncorrected_ev_per_atom": -0.97, "dos_at_fermi_per_ev_fu": 5.63, "lattice": [[9.757, 0.000, 0.000], [-4.878, 7.057, -0.897], [0.000, -4.606, 7.575]], "species": ["Pa", "Pa", "Te", "Sc", "Te", "Na", "Te", "Te", "Na", "Te", "Te", "Te", "Te", "Sc"], "frac_coords": [[0.500, 0.500, 0.500], [0.000, 0.500, 0.500], [0.323, 0.040, 0.770], [0.500, 0.000, 0.000], [0.677, 0.960, 0.230], [0.059, 0.118, 0.809], [0.717, 0.040, 0.770], [0.283, 0.960, 0.230], [0.941, 0.882, 0.191], [0.767, 0.533, 0.737], [0.233, 0.467, 0.263], [0.233, 0.467, 0.704], [0.767, 0.533, 0.296], [0.500, 0.000, 0.500]]}

***

[8]
{"formula": "Ba2NpN3", "functional": "PBE", "state": "optimized geometry", "e_tot_ev_per_atom": -7.79, "formation_energy_uncorrected_ev_per_atom": -0.83, "dos_at_fermi_per_ev_fu": 5.07, "e_above_lowest_polymorph_mev_per_atom": 0.0, "lattice": [[6.148, 0.000, 0.000], [-3.074, 6.927, 0.000], [0.000, 0.000, 12.118]], "species": ["Np", "Ba", "Ba", "N", "Ba", "Ba", "N", "Np", "N", "N", "N", "Ba", "N", "N", "Ba", "N", "Np", "N", "N", "Ba", "N", "Ba", "Np", "N"], "frac_coords": [[0.750, 0.500, 0.374], [0.099, 0.198, 0.369], [0.401, 0.802, 0.869], [0.392, 0.784, 0.116], [0.401, 0.802, 0.369], [0.901, 0.802, 0.131], [0.500, 0.500, 0.250], [0.750, 0.500, 0.874], [0.000, 0.500, 0.250], [0.500, 0.500, 0.750], [0.892, 0.784, 0.884], [0.599, 0.198, 0.131], [0.108, 0.216, 0.116], [0.608, 0.216, 0.384], [0.901, 0.802, 0.631], [0.608, 0.216, 0.884], [0.250, 0.500, 0.626], [0.000, 0.500, 0.750], [0.892, 0.784, 0.384], [0.599, 0.198, 0.631], [0.392, 0.784, 0.616], [0.099, 0.198, 0.869], [0.250, 0.500, 0.126], [0.108, 0.216, 0.616]]}

***

[9]
{"formula": "LaSmInRh", "functional": "PBE", "state": "optimized geometry", "e_tot_ev_per_atom": -5.39, "formation_enthalpy_0k_ev_per_atom": -0.45, "dos_at_fermi_per_ev_fu": 3.71, "lattice": [[-3.480, -1.291, -3.753], [1.469, -3.108, -4.005], [-1.830, -4.941, -0.315]], "species": ["Rh", "Sm", "In", "La"], "frac_coords": [[0.250, 0.250, 0.250], [0.500, 0.500, 0.500], [0.750, 0.750, 0.750], [0.000, 0.000, 0.000]]}

***

[10]
{"formula": "Nb3VCo", "functional": "PBE", "state": "optimized geometry", "e_tot_ev_per_atom": -8.43, "formation_enthalpy_0k_ev_per_atom": 0.86, "dos_at_fermi_per_ev_fu": 5.87, "e_above_lowest_polymorph_mev_per_atom": 0.0, "lattice": [[4.588, 0.000, 0.000], [0.000, 4.588, 0.000], [0.000, 0.000, 4.588]], "species": ["V", "Co", "Nb", "Nb", "Nb"], "frac_coords": [[0.500, 0.500, 0.500], [0.000, 0.000, 0.000], [0.500, 0.000, 0.000], [0.000, 0.500, 0.000], [0.000, 0.000, 0.500]]}

***

[11]
{"formula": "LaNd2Dy2Y4", "functional": "PBE", "state": "optimized geometry", "e_tot_ev_per_atom": -5.51, "formation_enthalpy_0k_ev_per_atom": 0.00, "dos_at_fermi_per_ev_fu": 13.18, "lattice": [[-1.977, 0.137, -3.055], [1.060, -9.503, 1.060], [-7.341, 3.899, 4.923]], "species": ["Dy", "Y", "Nd", "Y", "Y", "Dy", "La", "Y", "Nd"], "frac_coords": [[0.852, 0.705, 0.337], [0.186, 0.373, 0.337], [0.333, 0.665, 0.001], [0.814, 0.627, 0.663], [0.481, 0.961, 0.662], [0.148, 0.295, 0.663], [0.000, 0.000, 0.000], [0.519, 0.039, 0.338], [0.667, 0.335, 0.999]]}

***

[12]
{"formula": "CaLaSe2O8", "functional": "PBE", "state": "optimized geometry", "e_tot_ev_per_atom": -6.06, "formation_energy_uncorrected_ev_per_atom": -1.59, "dos_at_fermi_per_ev_fu": 3.58, "lattice": [[-4.921, -1.022, -2.931], [0.178, -0.811, 5.759], [-2.026, 6.824, 1.023]], "species": ["O", "O", "O", "O", "Se", "Ca", "O", "O", "Se", "La", "O", "O"], "frac_coords": [[0.667, 0.333, 0.958], [0.668, 0.834, 0.740], [0.834, 0.668, 0.260], [0.834, 0.166, 0.260], [0.667, 0.333, 0.188], [0.000, 0.000, 0.000], [0.166, 0.834, 0.740], [0.332, 0.166, 0.260], [0.333, 0.667, 0.812], [0.000, 0.000, 0.500], [0.333, 0.667, 0.042], [0.166, 0.332, 0.740]]}